(P)
A plane-wave DFT calculation with SCAN was carried out for a crystal of ScCo2Br relaxed with PBEsol.

Summary:
- Spin magnetization: 0.5988 μB/atom
- DOS(E_F): 0.3914 states/eV/atom
- Volume: 14.26 A^3/atom
- Space-group type: Fm-3m (225)

Cell lengths 4.321, 4.321, 4.321 Å; angles 60.00, 60.00, 60.00 degrees
Last column: magnetic moment on the atom in μB.
Sites, in units of the cell vectors:
Co 0.250 0.250 0.250  1.41
Br 0.000 0.000 0.000  0.10
Sc 0.500 0.500 0.500  -0.28
Co 0.750 0.750 0.750  1.41



(Q)
A plane-wave DFT calculation with SCAN was carried out for a crystal of ScCo2Br relaxed with PBEsol.

Summary:
- Spin magnetization: 0.9731 μB/atom
- DOS(E_F): 0.3829 states/eV/atom
- Volume: 15.68 A^3/atom
- Space-group type: R-3m (166)

Cell lengths 3.056, 3.056, 7.949 Å; angles 78.92, 78.92, 60.00 degrees
Last column: magnetic moment on the atom in μB.
Sites, in units of the cell vectors:
Sc 0.500 0.500 0.500  0.04
Co 0.252 0.252 0.243  1.85
Co 0.748 0.748 0.757  1.85
Br 0.000 0.000 0.000  0.13



It is (P) that is the least stable of them.



(P)
A plane-wave DFT calculation with SCAN was carried out for a crystal of CoSiBr2 relaxed with PBEsol.

Summary:
- Spin magnetization: 0.4310 μB/atom
- DOS(E_F): 1.1011 states/eV/atom
- Volume: 17.87 A^3/atom
- Space-group type: Fm-3m (225)

Cell lengths 4.659, 4.659, 4.659 Å; angles 60.00, 90.00, 120.00 degrees
Last column: magnetic moment on the atom in μB.
Sites, in units of the cell vectors:
Co 0.500 0.000 0.500  1.97
Si 0.000 0.000 0.000  -0.10
Br 0.750 0.500 0.750  0.04
Br 0.250 0.500 0.250  0.04



(Q)
A plane-wave DFT calculation with SCAN was carried out for a crystal of CoSiBr2 relaxed with PBEsol.

Summary:
- Spin magnetization: 0.4755 μB/atom
- DOS(E_F): 0.3505 states/eV/atom
- Volume: 20.88 A^3/atom
- Space-group type: Immm (71)

Cell lengths 3.290, 3.573, 7.508 Å; angles 103.76, 102.66, 90.00 degrees
Last column: magnetic moment on the atom in μB.
Sites, in units of the cell vectors:
Br 0.855 0.855 0.710  0.06
Co 0.500 0.000 0.000  1.73
Si 0.000 0.500 0.000  0.01
Br 0.145 0.145 0.290  0.06



(R)
A plane-wave DFT calculation with SCAN was carried out for a crystal of CoSiBr2 relaxed with PBEsol.

Summary:
- Spin magnetization: 0.5460 μB/atom
- DOS(E_F): 0.4039 states/eV/atom
- Volume: 20.65 A^3/atom
- Space-group type: R-3m (166)

Cell lengths 3.297, 3.297, 8.977 Å; angles 79.42, 79.42, 60.00 degrees
Last column: magnetic moment on the atom in μB.
Sites, in units of the cell vectors:
Co 0.000 0.000 0.000  2.03
Br 0.915 0.915 0.256  0.03
Si 0.500 0.500 0.500  0.02
Br 0.085 0.085 0.744  0.03



(S)
A plane-wave DFT calculation with SCAN was carried out for a crystal of CoSiBr2 relaxed with PBEsol.

Summary:
- Spin magnetization: 0.2443 μB/atom
- DOS(E_F): 0.2053 states/eV/atom
- Volume: 22.47 A^3/atom
- Space-group type: Cm (8)

Cell lengths 3.492, 4.661, 5.791 Å; angles 90.06, 107.55, 90.00 degrees
Last column: magnetic moment on the atom in μB.
Sites, in units of the cell vectors:
Si 0.763 0.250 0.527  0.00
Co 0.381 0.250 0.763  0.95
Br 0.316 0.750 0.632  -0.04
Br 0.039 0.250 0.078  0.01



It is (P) that is the least stable of them.



(P)
A plane-wave DFT calculation with SCAN was carried out for a crystal of CoSiBr2 relaxed with PBEsol.

Summary:
- Spin magnetization: 0.2958 μB/atom
- DOS(E_F): 0.4440 states/eV/atom
- Volume: 19.94 A^3/atom
- Space-group type: I-4m2 (119)

Cell lengths 3.722, 3.722, 6.330 Å; angles 107.10, 107.10, 90.00 degrees
Last column: magnetic moment on the atom in μB.
Sites, in units of the cell vectors:
Si 0.250 0.750 0.500  -0.21
Co 0.500 0.500 0.000  1.83
Br 0.750 0.250 0.500  -0.03
Br 0.000 0.000 0.000  -0.04



(Q)
A plane-wave DFT calculation with SCAN was carried out for a crystal of CoSiBr2 relaxed with PBEsol.

Summary:
- Spin magnetization: 0.4392 μB/atom
- DOS(E_F): 0.5653 states/eV/atom
- Volume: 20.32 A^3/atom
- Space-group type: Cmmm (65)

Cell lengths 3.248, 3.380, 8.442 Å; angles 90.00, 90.00, 118.71 degrees
Last column: magnetic moment on the atom in μB.
Sites, in units of the cell vectors:
Br 0.000 0.000 0.291  0.00
Co 0.500 0.000 0.500  1.68
Br 0.000 0.000 0.709  0.00
Si 0.500 0.000 0.000  0.01



(R)
A plane-wave DFT calculation with SCAN was carried out for a crystal of CoSiBr2 relaxed with PBEsol.

Summary:
- Spin magnetization: 0.2376 μB/atom
- DOS(E_F): 0.7698 states/eV/atom
- Volume: 19.33 A^3/atom
- Space-group type: P4mm (99)

Cell lengths 2.965, 2.965, 8.797 Å; angles 90.00, 90.00, 90.00 degrees
Last column: magnetic moment on the atom in μB.
Sites, in units of the cell vectors:
Si 0.500 0.500 0.570  -0.04
Co 0.000 0.000 0.680  0.95
Br 0.500 0.500 0.307  -0.01
Br 0.000 0.000 0.944  0.10



It is (P) that is the least stable of them.



(P)
A plane-wave DFT calculation with SCAN was carried out for a crystal of Co2SiBr relaxed with PBEsol.

Summary:
- Spin magnetization: 0.6661 μB/atom
- DOS(E_F): 0.4672 states/eV/atom
- Volume: 12.49 A^3/atom
- Space-group type: Cmmm (65)

Cell lengths 2.860, 4.180, 4.180 Å; angles 89.44, 90.00, 90.00 degrees
Last column: magnetic moment on the atom in μB.
Sites, in units of the cell vectors:
Si 0.500 0.000 0.000  0.03
Br 0.500 0.500 0.500  0.17
Co 0.000 0.500 0.000  1.34
Co 0.000 0.000 0.500  1.34



(Q)
A plane-wave DFT calculation with SCAN was carried out for a crystal of Co2SiBr relaxed with PBEsol.

Summary:
- Spin magnetization: 0.0010 μB/atom
- DOS(E_F): 0.5528 states/eV/atom
- Volume: 17.18 A^3/atom
- Space-group type: P4mm (99)

Cell lengths 3.611, 3.611, 5.270 Å; angles 90.00, 90.00, 90.00 degrees
Sites, in units of the cell vectors:
Co 0.500 0.000 0.132
Si 0.000 0.000 0.372
Br 0.500 0.500 0.859
Co 0.000 0.500 0.132



It is (P) that is the least stable of them.